# 1
Here is an optimized crystal structure of BiH2S from Alexandria. Energies are from PBE.

Cell and atoms, written as POSCAR:
```
BiH2S
1.0
0.000 2.962 2.962
2.962 0.000 2.962
2.962 2.962 0.000
H S Bi
2 1 1
direct
0.250 0.250 0.250
0.750 0.750 0.750
0.000 0.000 0.000
0.500 0.500 0.500
```

Computed properties:
space group: No. 225
offset from the most stable computed form: 0.687 eV per formula unit

# 2
Here is an optimized crystal structure of ScRuBr3 from Alexandria. Energies are from PBE.

Cell and atoms, written as POSCAR:
```
ScRuBr3
1.0
5.021 0.000 0.000
0.000 5.021 0.000
0.000 0.000 5.021
Sc Ru Br
1 1 3
direct
0.500 0.500 0.500
0.000 0.000 0.000
0.000 0.500 0.000
0.000 0.000 0.500
0.500 0.000 0.000
```

Computed properties:
space group: No. 221
raw formation energy: 0.61 eV/f.u.
offset from the most stable computed form: 0.692 eV per formula unit

# 3
Here is an optimized crystal structure of Dy2SnAu from Alexandria. Energies are from PBE.

Cell and atoms, written as POSCAR:
```
Dy2SnAu
1.0
-1.893 -3.578 -1.902
2.118 1.774 -5.445
5.403 -4.870 3.782
Dy Sn Au
4 2 2
direct
0.750 0.206 0.438
0.250 0.794 0.562
0.250 0.777 0.083
0.750 0.223 0.917
0.250 0.327 0.209
0.750 0.673 0.791
0.750 0.676 0.297
0.250 0.324 0.703
```

Computed properties:
space group: No. 11
ΔH_f (0 K): -0.78 eV/atom

# 4
Here is an optimized crystal structure of CrFe2P8 from Alexandria. Energies are from PBE.

Cell and atoms, written as POSCAR:
```
CrFe2P8
1.0
1.404 2.839 2.087
-7.571 -0.166 -4.142
-7.128 -4.600 1.591
Cr Fe P
1 2 8
direct
0.000 0.000 0.000
0.979 0.680 0.680
0.021 0.320 0.320
0.647 0.865 0.321
0.353 0.679 0.135
0.803 0.809 0.809
0.197 0.191 0.191
0.647 0.321 0.865
0.353 0.135 0.679
0.225 0.590 0.590
0.775 0.410 0.410
```

Computed properties:
space group: No. 12
ΔH_f (0 K): 0.05 eV/atom

# 5
Here is an optimized crystal structure of Sc3Pa2TiN6 from Alexandria. Energies are from PBE.

Cell and atoms, written as POSCAR:
```
Sc3Pa2TiN6
1.0
-0.514 -3.035 -1.129
5.920 -1.863 2.312
-4.165 0.218 6.069
Sc Pa Ti N
3 2 1 6
direct
0.500 0.500 0.000
0.841 0.167 0.683
0.159 0.833 0.317
0.836 0.675 0.673
0.164 0.325 0.327
0.500 0.000 0.000
0.339 0.929 0.678
0.662 0.594 0.323
0.661 0.071 0.322
0.000 0.241 0.999
0.000 0.759 0.001
0.338 0.406 0.677
```

Computed properties:
space group: No. 12
raw formation energy: -20.29 eV/f.u.

# 6
Here is an optimized crystal structure of CuSiHg4 from Alexandria. Energies are from PBE.

Cell and atoms, written as POSCAR:
```
CuSiHg4
1.0
-1.315 -3.484 4.463
-5.559 -1.150 1.250
-2.165 -5.302 -0.992
Cu Si Hg
1 1 4
direct
0.000 0.000 0.000
0.750 0.750 0.750
0.875 0.375 0.375
0.375 0.375 0.875
0.375 0.875 0.375
0.375 0.375 0.375
```

Computed properties:
space group: No. 216
raw formation energy: 3.94 eV/f.u.